Entry 1:
VASP calculation (meta-GGA SCAN) on a PBEsol-optimized structure of ReMoPb2.

The structure in extended XYZ format:
```
4
Lattice="3.270 0.000 0.000 0.000 4.517 0.000 0.000 0.000 5.265" Properties=species:S:1:pos:R:3 pbc="T T T"
Re 0.000 0.000 0.000
Mo 1.635 0.000 2.632
Pb 0.000 2.259 2.632
Pb 1.635 2.259 0.000
```

Values from the calculation:
* final energy: -252.7 eV per formula unit
* ΔH_f (0 K): 1.205 eV per atom
* SG: Pmmm, No. 47



Entry 2:
VASP calculation (meta-GGA SCAN) on a PBEsol-optimized structure of ReMoPb3.

The structure in extended XYZ format:
```
5
Lattice="5.256 0.000 0.000 0.000 5.256 0.000 0.000 0.000 5.256" Properties=species:S:1:pos:R:3 pbc="T T T"
Re 0.000 0.000 0.000
Mo 2.628 2.628 2.628
Pb 0.000 0.000 2.628
Pb 0.000 2.628 0.000
Pb 2.628 0.000 0.000
```

Values from the calculation:
* final energy: -327.1 eV per formula unit
* ΔH_f (0 K): 1.252 eV per atom
* SG: Pm-3m, No. 221



Entry 3:
VASP calculation (meta-GGA SCAN) on a PBEsol-optimized structure of MoRhPb2.

The structure in extended XYZ format:
```
4
Lattice="4.674 0.000 0.000 0.000 4.674 0.000 0.000 0.000 3.377" Properties=species:S:1:pos:R:3 pbc="T T T"
Mo 0.000 0.000 0.000
Rh 2.337 2.337 0.000
Pb 0.000 2.337 1.688
Pb 2.337 0.000 1.688
```

Values from the calculation:
* final energy: -218.3 eV per formula unit
* ΔH_f (0 K): 0.487 eV per atom
* SG: P4/mmm, No. 123



Entry 4:
VASP calculation (meta-GGA SCAN) on a PBEsol-optimized structure of MoRh2Pb.

The structure in extended XYZ format:
```
4
Lattice="2.908 0.000 0.000 0.000 3.860 0.000 0.000 0.000 5.816" Properties=species:S:1:pos:R:3 pbc="T T T"
Mo 0.000 0.000 0.000
Rh 0.000 0.000 3.250
Rh 1.454 1.930 4.751
Pb 1.454 1.930 1.837
```

Values from the calculation:
* final energy: -177.2 eV per formula unit
* ΔH_f (0 K): 0.264 eV per atom
* SG: Pmm2, No. 25